No. 1
The following is a PBE calculation of BeSnGe3 after structural relaxation, from the Alexandria database.

Output
- Symmetry: Pm-3m
- DFT formation energy: 40 kJ per mole of atoms
- Magnetization: 0.0 μB per cell
- Calculated total energy: -3.904 eV per atom

abc: 4.6203 4.6203 4.6203
angles: 90.00 90.00 90.00
Fractional coordinates of all 5 atoms:
Sn  0.5000  0.5000  0.5000
Be  0.0000  0.0000  0.0000
Ge  0.5000  0.0000  0.0000
Ge  0.0000  0.0000  0.5000
Ge  0.0000  0.5000  0.0000

---

No. 2
The following is a PBE calculation of BeSn2Ge after structural relaxation, from the Alexandria database.

Output
- Symmetry: Fm-3m
- DFT formation energy: 47 kJ per mole of atoms
- Magnetization: 0.0 μB per cell
- Calculated total energy: -3.599 eV per atom
- Polymorph energy (0 for the lowest one): 142 meV per atom

abc: 4.9282 4.9282 4.9282
angles: 60.00 60.00 60.00
Fractional coordinates of all 4 atoms:
Be  0.0000  0.0000  0.0000
Sn  0.2500  0.2500  0.2500
Sn  0.7500  0.7500  0.7500
Ge  0.5000  0.5000  0.5000

---

No. 3
The following is a PBE calculation of Be2SnGe after structural relaxation, from the Alexandria database.

Output
- Symmetry: I-42d
- DFT formation energy: 33 kJ per mole of atoms
- Magnetization: 0.0 μB per cell
- Calculated total energy: -3.680 eV per atom
- Polymorph energy (0 for the lowest one): 0 meV per atom

abc: 4.3286 4.3286 7.9271
angles: 74.16 74.16 90.00
Fractional coordinates of all 8 atoms:
Ge  0.2500  0.7500  0.5000
Ge  0.5000  0.5000  0.0000
Sn  0.0000  0.0000  0.0000
Sn  0.7500  0.2500  0.5000
Be  0.8750  0.7982  0.7500
Be  0.2018  0.6250  0.2500
Be  0.3750  0.4518  0.7500
Be  0.5482  0.1250  0.2500

---

No. 4
The following is a PBE calculation of BeSnGe2 after structural relaxation, from the Alexandria database.

Output
- Symmetry: I-42d
- DFT formation energy: 27 kJ per mole of atoms
- Magnetization: 0.0 μB per cell
- Calculated total energy: -3.961 eV per atom
- Polymorph energy (0 for the lowest one): 0 meV per atom

abc: 5.1092 5.1092 7.6702
angles: 70.55 70.55 90.00
Fractional coordinates of all 8 atoms:
Ge  0.8750  0.7803  0.7500
Ge  0.2197  0.6250  0.2500
Ge  0.5303  0.1250  0.2500
Ge  0.3750  0.4697  0.7500
Be  0.2500  0.7500  0.5000
Be  0.5000  0.5000  0.0000
Sn  0.0000  0.0000  0.0000
Sn  0.7500  0.2500  0.5000

---

No. 5
The following is a PBE calculation of BeSn2Ge after structural relaxation, from the Alexandria database.

Output
- Symmetry: I-42d
- DFT formation energy: 33 kJ per mole of atoms
- Magnetization: 0.0 μB per cell
- Calculated total energy: -3.741 eV per atom
- Polymorph energy (0 for the lowest one): 0 meV per atom

abc: 5.4090 5.4090 7.9260
angles: 70.05 70.05 90.00
Fractional coordinates of all 8 atoms:
Sn  0.8750  0.8253  0.7500
Sn  0.1747  0.6250  0.2500
Sn  0.3750  0.4247  0.7500
Sn  0.5753  0.1250  0.2500
Be  0.5000  0.5000  0.0000
Be  0.2500  0.7500  0.5000
Ge  0.0000  0.0000  0.0000
Ge  0.7500  0.2500  0.5000

---

No. 6
The following is a PBE calculation of Be2SnGe after structural relaxation, from the Alexandria database.

Output
- Symmetry: Fm-3m
- DFT formation energy: 62 kJ per mole of atoms
- Magnetization: 0.0 μB per cell
- Calculated total energy: -3.372 eV per atom
- Polymorph energy (0 for the lowest one): 309 meV per atom

abc: 4.4914 4.4914 4.4914
angles: 60.00 60.00 60.00
Fractional coordinates of all 4 atoms:
Sn  0.5000  0.5000  0.5000
Be  0.2500  0.2500  0.2500
Be  0.7500  0.7500  0.7500
Ge  0.0000  0.0000  0.0000